Run A
Here is a crystal of K2CrRh relaxed with PBEsol from Alexandria via LeMat-Bulk. Energies are from meta-GGA SCAN.

Density in g/cm3: 3.68
Spin magnetization in μB/f.u.: 4.52

Geometry as POSCAR:
```
K2CrRh
1.0
4.436 0.000 0.000
0.000 4.436 0.000
0.000 0.000 5.343
K Cr Rh
2 1 1
Cartesian
0.000 0.000 1.309
0.000 0.000 4.034
2.218 2.218 2.671
2.218 2.218 0.000
```

Run B
Here is a crystal of K2CrRh relaxed with PBEsol from Alexandria via LeMat-Bulk. Energies are from meta-GGA SCAN.

Density in g/cm3: 4.19
Spin magnetization in μB/f.u.: 4.96

Geometry as POSCAR:
```
K2CrRh
1.0
0.000 3.587 3.587
3.587 0.000 3.587
3.587 3.587 0.000
K Cr Rh
2 1 1
Cartesian
0.000 0.000 0.000
1.794 1.794 1.794
3.587 3.587 3.587
5.381 5.381 5.381
```

Quick one: most stable of them? run B

Run A
Here is a crystal of KSc2Cr relaxed with PBEsol from Alexandria via LeMat-Bulk. Energies are from meta-GGA SCAN.

Density in g/cm3: 2.57
Spin magnetization in μB/f.u.: 2.59

Geometry as POSCAR:
```
KSc2Cr
1.0
4.765 -1.551 0.000
4.765 1.551 0.000
-0.661 0.000 7.904
K Sc Cr
1 2 1
Cartesian
0.000 0.000 0.000
1.752 0.000 5.001
4.266 0.000 3.422
6.794 0.000 2.803
```

Run B
Here is a crystal of KSc2Cr relaxed with PBEsol from Alexandria via LeMat-Bulk. Energies are from meta-GGA SCAN.

Density in g/cm3: 2.98
Spin magnetization in μB/f.u.: 4.36

Geometry as POSCAR:
```
KSc2Cr
1.0
3.373 0.000 0.000
0.000 5.449 0.000
0.000 0.000 5.489
K Sc Cr
1 2 1
Cartesian
0.000 0.000 0.000
0.000 2.725 2.744
1.687 2.725 0.000
1.687 0.000 2.744
```

Quick one: most stable of them? run A

Run A
Here is a crystal of KSr2Cr relaxed with PBEsol from Alexandria via LeMat-Bulk. Energies are from meta-GGA SCAN.

Density in g/cm3: 2.77
Spin magnetization in μB/f.u.: 5.47

Geometry as POSCAR:
```
KSr2Cr
1.0
0.000 4.306 4.306
4.306 0.000 4.306
4.306 4.306 0.000
K Sr Cr
1 2 1
Cartesian
0.000 0.000 0.000
2.153 2.153 2.153
6.459 6.459 6.459
4.306 4.306 4.306
```

Run B
Here is a crystal of KSr2Cr relaxed with PBEsol from Alexandria via LeMat-Bulk. Energies are from meta-GGA SCAN.

Density in g/cm3: 2.52
Spin magnetization in μB/f.u.: 5.17

Geometry as POSCAR:
```
KSr2Cr
1.0
4.026 0.000 0.000
0.000 4.026 0.000
0.000 0.000 10.842
K Sr Cr
1 2 1
Cartesian
0.000 0.000 0.000
2.013 2.013 3.489
2.013 2.013 7.353
0.000 0.000 5.421
```

Quick one: most stable of them? run B

Run A
Here is a crystal of KTa2Cr relaxed with PBEsol from Alexandria via LeMat-Bulk. Energies are from meta-GGA SCAN.

Density in g/cm3: 9.67
Spin magnetization in μB/f.u.: 2.44

Geometry as POSCAR:
```
KTa2Cr
1.0
2.790 -5.101 0.000
2.790 5.101 0.000
0.000 0.000 2.733
K Ta Cr
1 2 1
Cartesian
0.000 0.000 0.000
1.395 2.550 1.367
1.395 -2.550 1.367
2.790 0.000 0.000
```

Run B
Here is a crystal of KTa2Cr relaxed with PBEsol from Alexandria via LeMat-Bulk. Energies are from meta-GGA SCAN.

Density in g/cm3: 7.86
Spin magnetization in μB/f.u.: 2.62

Geometry as POSCAR:
```
KTa2Cr
1.0
4.426 -1.437 0.000
4.426 1.437 0.000
-0.363 0.000 7.521
K Ta Cr
1 2 1
Cartesian
0.000 0.000 0.000
1.824 0.000 4.821
4.220 0.000 3.578
6.599 0.000 2.602
```

Run C
Here is a crystal of KTa2Cr relaxed with PBEsol from Alexandria via LeMat-Bulk. Energies are from meta-GGA SCAN.

Density in g/cm3: 9.37
Spin magnetization in μB/f.u.: 0.94

Geometry as POSCAR:
```
KTa2Cr
1.0
-1.408 2.763 5.157
1.408 -2.763 5.157
1.408 2.763 -5.157
K Ta Cr
1 2 1
Cartesian
0.000 0.000 0.000
1.408 0.000 3.099
0.000 2.763 2.058
0.000 0.000 5.157
```

Quick one: most stable of them? run B